The following is a DFT calculation (SCAN) of a crystal of NaFeBi2Mo relaxed with PBEsol.

a b c (Å): 4.474 5.175 5.175
angles (deg): 90.00 90.00 90.00
Sites, in units of the cell vectors:
Na (0.500, 0.500, 0.500)
Bi (0.000, 0.000, 0.500)
Bi (0.000, 0.500, 0.000)
Fe (0.000, 0.000, 0.000)
Mo (0.500, 0.000, 0.000)

* total magnetization: 0.70 μB/atom
* Fermi-level density of states: 3.02 states/eV/f.u.
* electronic total energy: -210.34 eV/cell